TlMoPOsRu: optimized geometry, PBE.

The calculation puts the relative energy among the computed polymorphs at 0.000 eV per atom. As for the density: 12.516 g/cm3. The calculation puts the size of the total moment at 0.00 μB per formula unit. As for the energy of formation: 57 meV/atom.

abc: 4.8629 4.8629 5.7589
angles: 90.17 90.17 37.34
With the nearest neighbours (Å) after each atom.
Fractional coordinates of all 5 atoms:
Tl  0.0000  0.0000  0.0000  3 Ru 2.89-2.96, 2 Mo 2.89-2.90, 3 Os 2.90-3.02, 2 Tl 3.11
Mo  0.9647  0.9647  0.4992  3 P 2.47-2.70, 2 Os 2.74
P  0.6721  0.6721  0.5091  2 Ru 2.30, 2 Os 2.31, 2 Mo 2.47
Os  0.2708  0.2708  0.2579  2 P 2.31
Ru  0.2733  0.2733  0.7564  2 P 2.30